Here is a relaxed structure of NbHgAs2Se from Alexandria. Energies are from PBE.

Results
density of states at the Fermi level = 7.0 states/eV per cell
excess energy over the best structure of this formula in the dataset = 1.256 eV/atom
final energy = -16.25 eV per cell
crystal system = tetragonal
total moment = 0.0 μB per cell
ΔE_f (raw) = 31.9 kcal/mol of atoms

abc: 5.045 5.045 5.081
angles: 90.00 90.00 90.00
Space group P4/mmm (No. 123)
Symmetry-distinct sites (fractional):
Nb1 0.000 0.000 0.000 [1 per cell]
Hg1 0.500 0.500 0.500 [1 per cell]
As1 0.000 0.500 0.500 [2 per cell]
Se1 0.500 0.500 0.000 [1 per cell]